(1)
# LaScVB2 | the Alexandria database | PBE | optimized geometry
# Formation energy (eV per atom): 2.344
# Space-group type: P4/mmm, No. 123
data_LaScVB2
_symmetry_space_group_name_H-M 'P 1'
_symmetry_Int_Tables_number 1
_symmetry_space_group_name_Hall 'P 1'
_cell_length_a 4.549
_cell_length_b 5.253
_cell_length_c 4.549
_cell_angle_alpha 90.00
_cell_angle_beta 90.00
_cell_angle_gamma 90.00
loop_
_atom_site_label
_atom_site_type_symbol
_atom_site_fract_x
_atom_site_fract_y
_atom_site_fract_z
Sc1 Sc 0.000 0.500 0.000
B1 B 0.000 0.000 0.500
B2 B 0.500 0.000 0.000
V1 V 0.500 0.500 0.500
La1 La 0.000 0.000 0.000

(2)
# Pm2BiH | the Alexandria database | PBE | optimized geometry
# Excess energy over the best structure of this formula in the dataset (kJ/mol of atoms): 34.6
# Space-group type: Fm-3m, No. 225
data_Pm2BiH
_symmetry_space_group_name_H-M 'P 1'
_symmetry_Int_Tables_number 1
_symmetry_space_group_name_Hall 'P 1'
_cell_length_a 5.262
_cell_length_b 5.262
_cell_length_c 5.262
_cell_angle_alpha 60.00
_cell_angle_beta 60.00
_cell_angle_gamma 60.00
loop_
_atom_site_label
_atom_site_type_symbol
_atom_site_fract_x
_atom_site_fract_y
_atom_site_fract_z
H1 H 0.500 0.500 0.500
Bi1 Bi 0.000 0.000 0.000
Pm1 Pm 0.250 0.250 0.250
Pm2 Pm 0.750 0.750 0.750

(3)
# SrIrO | the Alexandria database | PBE | optimized geometry
# Uncorrected formation energy (eV per atom): -0.5982
# Space-group type: Cmce, No. 64
data_SrIrO
_symmetry_space_group_name_H-M 'P 1'
_symmetry_Int_Tables_number 1
_symmetry_space_group_name_Hall 'P 1'
_cell_length_a 7.722
_cell_length_b 7.158
_cell_length_c 6.031
_cell_angle_alpha 90.00
_cell_angle_beta 90.00
_cell_angle_gamma 122.64
loop_
_atom_site_label
_atom_site_type_symbol
_atom_site_fract_x
_atom_site_fract_y
_atom_site_fract_z
Ir1 Ir 0.625 0.250 0.250
Ir2 Ir 0.875 0.750 0.750
Ir3 Ir 0.375 0.750 0.750
Ir4 Ir 0.125 0.250 0.250
O1 O 0.375 0.251 0.250
O2 O 0.125 0.749 0.750
O3 O 0.625 0.749 0.750
O4 O 0.875 0.251 0.250
Sr1 Sr 0.875 0.750 0.249
Sr2 Sr 0.625 0.250 0.749
Sr3 Sr 0.125 0.250 0.751
Sr4 Sr 0.375 0.750 0.251

(4)
# Y2CoGeC | the Alexandria database | PBE | optimized geometry
# Formation energy (eV per atom): -0.461
# Space-group type: P4/mmm, No. 123
data_Y2CoGeC
_symmetry_space_group_name_H-M 'P 1'
_symmetry_Int_Tables_number 1
_symmetry_space_group_name_Hall 'P 1'
_cell_length_a 4.985
_cell_length_b 4.985
_cell_length_c 3.673
_cell_angle_alpha 90.00
_cell_angle_beta 90.00
_cell_angle_gamma 90.00
loop_
_atom_site_label
_atom_site_type_symbol
_atom_site_fract_x
_atom_site_fract_y
_atom_site_fract_z
Y1 Y 0.000 0.500 0.000
Y2 Y 0.500 0.000 0.000
Ge1 Ge 0.500 0.500 0.500
Co1 Co 0.000 0.000 0.500
C1 C 0.000 0.000 0.000